# 1
Density functional theory data (GGA-PBE) for a relaxed structure of ReIrO2.

- Formation energy from raw total energies: -0.6042 eV/atom
- Energy above the lowest structure with this stoichiometry: 0 meV per atom
- Total magnetization: 0.00 μB per cell
- N(E_F): 0.4564 states/eV/atom

Cell: 7.013 7.013 7.013 Å, 22.50 22.50 22.50°
Sites, in units of the cell vectors:
1 Re 0.000 0.000 0.000
2 Ir 0.500 0.500 0.500
3 O 0.401 0.401 0.401
4 O 0.599 0.599 0.599

# 2
Density functional theory data (GGA-PBE) for a relaxed structure of Re2IrO2.

- Formation energy from raw total energies: 0.4900 eV/atom
- Energy above the lowest structure with this stoichiometry: 821 meV per atom
- Total magnetization: 0.00 μB per cell
- N(E_F): 0.8259 states/eV/atom

Cell: 6.778 6.778 2.722 Å, 90.00 90.00 90.00°
Sites, in units of the cell vectors:
1 Re 0.137 0.363 0.000
2 Re 0.363 0.863 0.000
3 Re 0.637 0.137 0.000
4 Re 0.863 0.637 0.000
5 Ir 0.000 0.000 0.000
6 Ir 0.500 0.500 0.000
7 O 0.120 0.620 0.500
8 O 0.380 0.120 0.500
9 O 0.620 0.880 0.500
10 O 0.880 0.380 0.500

# 3
Density functional theory data (GGA-PBE) for a relaxed structure of Re2IrO2.

- Formation energy from raw total energies: -0.3306 eV/atom
- Energy above the lowest structure with this stoichiometry: 0 meV per atom
- Total magnetization: 0.00 μB per cell
- N(E_F): 0.8406 states/eV/atom

Cell: 5.787 5.787 5.787 Å, 146.28 146.28 48.44°
Sites, in units of the cell vectors:
1 Re 0.124 0.124 0.000
2 Re 0.876 0.876 0.000
3 Ir 0.500 0.500 0.000
4 O 0.250 0.750 0.500
5 O 0.750 0.250 0.500

# 4
Density functional theory data (GGA-PBE) for a relaxed structure of ReIrO3.

- Formation energy from raw total energies: 0.0414 eV/atom
- Total magnetization: 1.83 μB per cell
- N(E_F): 0.9131 states/eV/atom

Cell: 3.880 3.880 3.880 Å, 90.00 90.00 90.00°
Sites, in units of the cell vectors:
1 Re 0.000 0.000 0.000
2 Ir 0.500 0.500 0.500
3 O 0.000 0.000 0.500
4 O 0.000 0.500 0.000
5 O 0.500 0.000 0.000

# 5
Density functional theory data (GGA-PBE) for a relaxed structure of ReIrS2O.

- Formation energy from raw total energies: 1.6127 eV/atom
- Total magnetization: 3.93 μB per cell
- N(E_F): 1.2115 states/eV/atom

Cell: 4.403 4.403 5.472 Å, 90.00 90.00 90.00°
Sites, in units of the cell vectors:
1 Re 0.000 0.000 0.000
2 Ir 0.000 0.000 0.500
3 S 0.000 0.500 0.500
4 S 0.500 0.000 0.500
5 O 0.500 0.500 0.000

# 6
Density functional theory data (GGA-PBE) for a relaxed structure of Re2IrSeO.

- Formation energy from raw total energies: 1.4242 eV/atom
- Total magnetization: 0.00 μB per cell
- N(E_F): 1.2884 states/eV/atom

Cell: 4.910 4.910 3.656 Å, 90.00 90.00 90.00°
Sites, in units of the cell vectors:
1 Re 0.000 0.500 0.000
2 Re 0.500 0.000 0.000
3 Ir 0.000 0.000 0.000
4 Se 0.500 0.500 0.500
5 O 0.000 0.000 0.500

# 7
Density functional theory data (GGA-PBE) for a relaxed structure of Sr2ReIrO.

- Formation energy from raw total energies: 0.2824 eV/atom
- Total magnetization: 0.75 μB per cell
- N(E_F): 1.4218 states/eV/atom

Cell: 5.929 5.929 3.726 Å, 90.00 90.00 90.00°
Sites, in units of the cell vectors:
1 Sr 0.000 0.500 0.000
2 Sr 0.500 0.000 0.000
3 Re 0.000 0.000 0.000
4 Ir 0.500 0.500 0.500
5 O 0.000 0.000 0.500

# 8
Density functional theory data (GGA-PBE) for a relaxed structure of TaReIr2O.

- Formation energy from raw total energies: 0.5626 eV/atom
- Total magnetization: 0.00 μB per cell
- N(E_F): 0.8869 states/eV/atom

Cell: 4.879 4.879 3.629 Å, 90.00 90.00 90.00°
Sites, in units of the cell vectors:
1 Ta 0.000 0.000 0.000
2 Re 0.500 0.500 0.500
3 Ir 0.000 0.500 0.500
4 Ir 0.500 0.000 0.500
5 O 0.500 0.500 0.000

# 9
Density functional theory data (GGA-PBE) for a relaxed structure of TlReIrO6.

- Formation energy from raw total energies: -1.0753 eV/atom
- Total magnetization: 0.96 μB per cell
- N(E_F): 0.5173 states/eV/atom

Cell: 5.361 5.361 5.977 Å, 90.00 90.00 120.00°
Sites, in units of the cell vectors:
1 Tl 0.000 0.000 0.000
2 Re 0.333 0.667 0.500
3 Ir 0.667 0.333 0.500
4 O 0.011 0.395 0.675
5 O 0.011 0.615 0.325
6 O 0.385 0.395 0.325
7 O 0.385 0.989 0.675
8 O 0.605 0.615 0.675
9 O 0.605 0.989 0.325

# 10
Density functional theory data (GGA-PBE) for a relaxed structure of IrRh2O6.

- Formation energy from raw total energies: -0.7054 eV/atom
- Energy above the lowest structure with this stoichiometry: 5 meV per atom
- Total magnetization: 0.00 μB per cell
- N(E_F): 0.8831 states/eV/atom

Cell: 8.806 8.806 4.334 Å, 90.00 90.00 120.00°
Sites, in units of the cell vectors:
1 Ir 0.000 0.000 0.000
2 Ir 0.333 0.667 0.495
3 Ir 0.667 0.333 0.505
4 Rh 0.000 0.353 0.000
5 Rh 0.000 0.686 0.500
6 Rh 0.314 0.314 0.500
7 Rh 0.353 0.000 0.000
8 Rh 0.647 0.647 0.000
9 Rh 0.686 0.000 0.500
10 O 0.096 0.218 0.240
11 O 0.117 0.580 0.247
12 O 0.122 0.904 0.240
13 O 0.218 0.096 0.760
14 O 0.221 0.449 0.741
15 O 0.228 0.779 0.741
16 O 0.420 0.537 0.247
17 O 0.449 0.221 0.259
18 O 0.463 0.883 0.247
19 O 0.537 0.420 0.753
20 O 0.551 0.772 0.741
21 O 0.580 0.117 0.753
22 O 0.772 0.551 0.259
23 O 0.779 0.228 0.259
24 O 0.782 0.878 0.240
25 O 0.878 0.782 0.760
26 O 0.883 0.463 0.753
27 O 0.904 0.122 0.760

# 11
Density functional theory data (GGA-PBE) for a relaxed structure of Ir3RhO.

- Formation energy from raw total energies: 2.6570 eV/atom
- Energy above the lowest structure with this stoichiometry: 1804 meV per atom
- Total magnetization: 1.12 μB per cell
- N(E_F): 3.9814 states/eV/atom

Cell: 4.708 4.708 4.708 Å, 90.00 90.00 90.00°
Sites, in units of the cell vectors:
1 Ir 0.000 0.000 0.500
2 Ir 0.000 0.500 0.000
3 Ir 0.500 0.000 0.000
4 Rh 0.000 0.000 0.000
5 O 0.500 0.500 0.500

# 12
Density functional theory data (GGA-PBE) for a relaxed structure of IrRh2O6.

- Formation energy from raw total energies: -0.7104 eV/atom
- Energy above the lowest structure with this stoichiometry: 0 meV per atom
- Total magnetization: 0.00 μB per cell
- N(E_F): 0.5612 states/eV/atom

Cell: 4.411 5.358 8.643 Å, 90.00 90.00 90.00°
Sites, in units of the cell vectors:
1 Ir 0.000 0.000 0.000
2 Ir 0.500 0.500 0.500
3 Rh 0.000 0.500 0.182
4 Rh 0.000 0.500 0.818
5 Rh 0.500 0.000 0.318
6 Rh 0.500 0.000 0.682
7 O 0.209 0.336 0.000
8 O 0.233 0.829 0.161
9 O 0.233 0.829 0.839
10 O 0.267 0.329 0.339
11 O 0.267 0.329 0.661
12 O 0.291 0.836 0.500
13 O 0.709 0.164 0.500
14 O 0.733 0.671 0.339
15 O 0.733 0.671 0.661
16 O 0.767 0.171 0.161
17 O 0.767 0.171 0.839
18 O 0.791 0.664 0.000

# 13
Density functional theory data (GGA-PBE) for a relaxed structure of IrRhO4.

- Formation energy from raw total energies: -0.7871 eV/atom
- Total magnetization: 0.00 μB per cell
- N(E_F): 0.6318 states/eV/atom

Cell: 5.542 5.542 5.542 Å, 108.98 108.98 110.46°
Sites, in units of the cell vectors:
1 Ir 0.000 0.000 0.000
2 Ir 0.750 0.250 0.500
3 Rh 0.248 0.748 0.500
4 Rh 0.498 0.498 0.000
5 O 0.188 0.497 0.691
6 O 0.247 0.056 0.809
7 O 0.247 0.438 0.191
8 O 0.307 0.001 0.306
9 O 0.696 0.001 0.694
10 O 0.751 0.557 0.806
11 O 0.751 0.946 0.194
12 O 0.806 0.497 0.309

# 14
Density functional theory data (GGA-PBE) for a relaxed structure of Ir3RhO.

- Formation energy from raw total energies: 0.8527 eV/atom
- Energy above the lowest structure with this stoichiometry: 0 meV per atom
- Total magnetization: 1.24 μB per cell
- N(E_F): 2.3134 states/eV/atom

Cell: 4.117 4.117 4.117 Å, 90.00 90.00 90.00°
Sites, in units of the cell vectors:
1 Ir 0.000 0.000 0.500
2 Ir 0.000 0.500 0.000
3 Ir 0.500 0.000 0.000
4 Rh 0.500 0.500 0.500
5 O 0.000 0.000 0.000

# 15
Density functional theory data (GGA-PBE) for a relaxed structure of IrRuRhO6.

- Formation energy from raw total energies: -0.7461 eV/atom
- Total magnetization: 1.50 μB per cell
- N(E_F): 0.8385 states/eV/atom

Cell: 5.078 5.078 8.613 Å, 90.00 90.00 120.00°
Sites, in units of the cell vectors:
1 Ir 0.333 0.667 0.250
2 Ir 0.667 0.333 0.750
3 Ru 0.000 0.000 0.000
4 Ru 0.000 0.000 0.500
5 Rh 0.333 0.667 0.750
6 Rh 0.667 0.333 0.250
7 O 0.004 0.337 0.123
8 O 0.004 0.667 0.377
9 O 0.333 0.337 0.377
10 O 0.333 0.996 0.123
11 O 0.337 0.004 0.623
12 O 0.337 0.333 0.877
13 O 0.663 0.667 0.123
14 O 0.663 0.996 0.377
15 O 0.667 0.004 0.877
16 O 0.667 0.663 0.623
17 O 0.996 0.333 0.623
18 O 0.996 0.663 0.877

# 16
Density functional theory data (GGA-PBE) for a relaxed structure of SbIrRhO6.

- Formation energy from raw total energies: -0.8675 eV/atom
- Total magnetization: 0.97 μB per cell
- N(E_F): 0.7562 states/eV/atom

Cell: 5.226 5.226 8.628 Å, 90.00 90.00 120.00°
Sites, in units of the cell vectors:
1 Sb 0.333 0.667 0.250
2 Sb 0.667 0.333 0.750
3 Ir 0.333 0.667 0.750
4 Ir 0.667 0.333 0.250
5 Rh 0.000 0.000 0.000
6 Rh 0.000 0.000 0.500
7 O 0.003 0.347 0.625
8 O 0.003 0.657 0.875
9 O 0.343 0.347 0.875
10 O 0.343 0.997 0.625
11 O 0.347 0.003 0.125
12 O 0.347 0.343 0.375
13 O 0.653 0.657 0.625
14 O 0.653 0.997 0.875
15 O 0.657 0.003 0.375
16 O 0.657 0.653 0.125
17 O 0.997 0.343 0.125
18 O 0.997 0.653 0.375

# 17
Density functional theory data (GGA-PBE) for a relaxed structure of ScIrRhO6.

- Formation energy from raw total energies: -1.3814 eV/atom
- Total magnetization: 2.04 μB per cell
- N(E_F): 0.8543 states/eV/atom

Cell: 5.150 5.150 8.675 Å, 90.00 90.00 120.00°
Sites, in units of the cell vectors:
1 Sc 0.333 0.667 0.250
2 Sc 0.667 0.333 0.750
3 Ir 0.333 0.667 0.750
4 Ir 0.667 0.333 0.250
5 Rh 0.000 0.000 0.000
6 Rh 0.000 0.000 0.500
7 O 0.014 0.344 0.623
8 O 0.014 0.671 0.877
9 O 0.329 0.344 0.877
10 O 0.329 0.986 0.623
11 O 0.344 0.014 0.123
12 O 0.344 0.329 0.377
13 O 0.656 0.671 0.623
14 O 0.656 0.986 0.877
15 O 0.671 0.014 0.377
16 O 0.671 0.656 0.123
17 O 0.986 0.329 0.123
18 O 0.986 0.656 0.377

# 18
Density functional theory data (GGA-PBE) for a relaxed structure of SmIrRhO6.

- Formation energy from raw total energies: -1.2676 eV/atom
- Total magnetization: 3.86 μB per cell
- N(E_F): 0.8391 states/eV/atom

Cell: 5.434 5.434 8.505 Å, 90.00 90.00 120.00°
Sites, in units of the cell vectors:
1 Sm 0.333 0.667 0.250
2 Sm 0.667 0.333 0.750
3 Ir 0.333 0.667 0.750
4 Ir 0.667 0.333 0.250
5 Rh 0.000 0.000 0.000
6 Rh 0.000 0.000 0.500
7 O 0.043 0.353 0.617
8 O 0.043 0.690 0.883
9 O 0.310 0.353 0.883
10 O 0.310 0.957 0.617
11 O 0.353 0.043 0.117
12 O 0.353 0.310 0.383
13 O 0.647 0.690 0.617
14 O 0.647 0.957 0.883
15 O 0.690 0.043 0.383
16 O 0.690 0.647 0.117
17 O 0.957 0.310 0.117
18 O 0.957 0.647 0.383

# 19
Density functional theory data (GGA-PBE) for a relaxed structure of SmIrRh2O8.

- Formation energy from raw total energies: -1.1889 eV/atom
- Total magnetization: 0.00 μB per cell
- N(E_F): 0.7677 states/eV/atom

Cell: 4.726 6.520 4.741 Å, 90.00 90.95 90.00°
Sites, in units of the cell vectors:
1 Sm 0.000 0.000 0.000
2 Ir 0.000 0.500 0.000
3 Rh 0.500 0.257 0.500
4 Rh 0.500 0.743 0.500
5 O 0.205 0.280 0.201
6 O 0.205 0.720 0.201
7 O 0.299 0.500 0.697
8 O 0.327 0.000 0.670
9 O 0.673 0.000 0.330
10 O 0.701 0.500 0.303
11 O 0.795 0.280 0.799
12 O 0.795 0.720 0.799

# 20
Density functional theory data (GGA-PBE) for a relaxed structure of SrIrRhO6.

- Formation energy from raw total energies: -1.2373 eV/atom
- Total magnetization: 1.90 μB per cell
- N(E_F): 0.6180 states/eV/atom

Cell: 5.315 5.315 5.269 Å, 90.00 90.00 120.00°
Sites, in units of the cell vectors:
1 Sr 0.000 0.000 0.000
2 Ir 0.667 0.333 0.500
3 Rh 0.333 0.667 0.500
4 O 0.382 0.006 0.702
5 O 0.382 0.376 0.298
6 O 0.624 0.006 0.298
7 O 0.624 0.618 0.702
8 O 0.994 0.376 0.702
9 O 0.994 0.618 0.298

# 21
Density functional theory data (GGA-PBE) for a relaxed structure of SrIr2RhO8.

- Formation energy from raw total energies: -0.7976 eV/atom
- Total magnetization: 0.71 μB per cell
- N(E_F): 0.7804 states/eV/atom

Cell: 5.327 5.327 7.280 Å, 90.00 90.00 120.00°
Sites, in units of the cell vectors:
1 Sr 0.000 0.000 0.000
2 Ir 0.333 0.667 0.714
3 Ir 0.667 0.333 0.286
4 Rh 0.000 0.000 0.500
5 O 0.020 0.296 0.686
6 O 0.275 0.980 0.686
7 O 0.296 0.275 0.314
8 O 0.333 0.667 0.970
9 O 0.667 0.333 0.030
10 O 0.704 0.725 0.686
11 O 0.725 0.020 0.314
12 O 0.980 0.704 0.314